Crystalline La2TbPr4Sm2 at its relaxed geometry, computed with GGA-PBE.

```
data_La2TbPr4Sm2
_chemical_formula_sum 'La4 Tb2 Pr8 Sm4'
_cell_length_a 19.2879
_cell_length_b 3.7207
_cell_length_c 9.8856
_cell_angle_alpha 90.00
_cell_angle_beta 115.62
_cell_angle_gamma 90.00
_space_group_name_H-M_alt 'C 1 2/m 1'
_space_group_IT_number 12
loop_
_space_group_symop_operation_xyz
'x,y,z'
'-x,-y,-z'
'-x,y,-z'
'x,-y,z'
'x+1/2,y+1/2,z'
'-x+1/2,-y+1/2,-z'
'-x+1/2,y+1/2,-z'
'x+1/2,-y+1/2,z'
loop_
_atom_site_label
_atom_site_type_symbol
_atom_site_fract_x
_atom_site_fract_y
_atom_site_fract_z
La1 La 0.1655 0.0000 0.4987
Tb1 Tb 0.0000 0.5000 0.5000
Pr1 Pr 0.0181 0.0000 0.8323
Pr2 Pr 0.1851 0.5000 0.8325
Sm1 Sm 0.1483 0.5000 0.1678
```

Properties
Its crystal system is monoclinic. The formation energy is 0.01 eV per atom.